# 1
SnAsBr2O: optimized geometry, PBE.

Calculated values
* distance to the lowest polymorph of the same formula: 0 meV per atom

abc: 4.870 4.870 4.519
angles: 90.00 90.00 90.00
Fractional positions:
1 O 0.000 0.000 0.000
2 As 0.000 0.000 0.500
3 Sn 0.500 0.500 0.500
4 Br 0.000 0.500 0.000
5 Br 0.500 0.000 0.000

=====

# 2
SnAs2BrO: optimized geometry, PBE.

Calculated values
* distance to the lowest polymorph of the same formula: 0 meV per atom

abc: 4.230 4.230 6.269
angles: 90.00 90.00 90.00
Fractional positions:
1 O 0.000 0.000 0.000
2 As 0.000 0.500 0.000
3 As 0.500 0.000 0.000
4 Sn 0.500 0.500 0.500
5 Br 0.000 0.000 0.500

=====

# 3
SnAsBrO2: optimized geometry, PBE.

Calculated values
* distance to the lowest polymorph of the same formula: 713 meV per atom

abc: 3.992 6.003 3.992
angles: 90.00 90.00 90.00
Fractional positions:
1 O 0.000 0.000 0.500
2 O 0.500 0.000 0.000
3 As 0.000 0.500 0.000
4 Sn 0.000 0.000 0.000
5 Br 0.500 0.500 0.500

=====

Question: The highest distance to the lowest polymorph of the same formula belongs to which entry?
Answer: SnAsBrO2